Here is an optimized crystal structure of LiNiH3 from Alexandria. Energies are from GGA-PBE.

```
data_LiNiH3
_chemical_formula_sum 'Li4 Ni4 H12'
_cell_length_a 2.839
_cell_length_b 13.052
_cell_length_c 4.648
_cell_angle_alpha 90.00
_cell_angle_beta 90.00
_cell_angle_gamma 90.00
_space_group_name_H-M_alt 'C m c m'
_space_group_IT_number 63
_space_group_name_Hall '-C 2c 2'
loop_
_atom_site_label
_atom_site_type_symbol
_atom_site_fract_x
_atom_site_fract_y
_atom_site_fract_z
_atom_site_occupancy
Li1 Li 0.000 0.083 0.250 1
Ni1 Ni 0.000 0.417 0.250 1
H1 H 0.000 0.500 0.000 1
H2 H 0.165 0.304 0.250 1
```

DOS(E_F)	0.51	states/eV/f.u.
energy	-3.55	eV per atom
total magnetic moment	0.000	μB per formula unit